1.
PmZnPtPb: relaxed, PBE-GGA.

Calculated values
N(E_F): 8.12 states/eV/cell
formation energy from the elements: -0.534 eV/atom

Cell lengths 7.0571, 7.0571, 7.0571 Å; angles 90.00, 90.00, 90.00 degrees
Space group F-43m (No. 216)
One atom of each set of equivalent atoms:
Pm (0.0000, 0.0000, 0.0000)
Zn (0.2500, 0.2500, 0.7500)
Pt (0.2500, 0.2500, 0.2500)
Pb (0.0000, 0.0000, 0.5000)

2.
Pm3Pu2Pb6: relaxed, PBE-GGA.

Calculated values
N(E_F): 41.61 states/eV/cell
formation energy from the elements: 0.037 eV/atom

Cell lengths 5.9327, 5.9327, 21.9922 Å; angles 90.00, 90.00, 90.00 degrees
Space group I4/mmm (No. 139)
One atom of each set of equivalent atoms:
Pm (0.0000, 0.0000, 0.0000)
Pm (0.0000, 0.0000, 0.1550)
Pu (0.0000, 0.0000, 0.4359)
Pb (0.0000, 0.0000, 0.2989)
Pb (0.0000, 0.5000, 0.0854)

3.
Pm2PuPb9: relaxed, PBE-GGA.

Calculated values
N(E_F): 15.79 states/eV/cell
formation energy from the elements: -0.191 eV/atom

Cell lengths 3.6928, 5.7328, 17.1583 Å; angles 90.00, 90.00, 90.00 degrees
Space group Pmmm (No. 47)
One atom of each set of equivalent atoms:
Pm (0.0000, 0.0000, 0.1670)
Pu (0.0000, 0.0000, 0.5000)
Pb (0.0000, 0.5000, 0.0000)
Pb (0.0000, 0.5000, 0.3344)
Pb (0.5000, 0.0000, 0.0000)
Pb (0.5000, 0.0000, 0.3348)
Pb (0.5000, 0.5000, 0.1679)
Pb (0.5000, 0.5000, 0.5000)

4.
PmPu3Pb4: relaxed, PBE-GGA.

Calculated values
N(E_F): 30.57 states/eV/cell
formation energy from the elements: -0.203 eV/atom

Cell lengths 3.2647, 5.9301, 11.8432 Å; angles 90.00, 90.00, 90.00 degrees
Space group Pmmm (No. 47)
One atom of each set of equivalent atoms:
Pm (0.0000, 0.0000, 0.0000)
Pu (0.0000, 0.0000, 0.5000)
Pu (0.0000, 0.5000, 0.2510)
Pb (0.5000, 0.0000, 0.2518)
Pb (0.5000, 0.5000, 0.0000)
Pb (0.5000, 0.5000, 0.5000)

5.
Pm3PuPb4: relaxed, PBE-GGA.

Calculated values
N(E_F): 36.64 states/eV/cell
energy above the most stable polymorph in this dataset: 0.119 eV per atom
formation energy from the elements: -0.301 eV/atom

Cell lengths 7.5084, 12.8862, 5.3392 Å; angles 90.00, 90.00, 90.00 degrees
Space group Cmmm (No. 65)
One atom of each set of equivalent atoms:
Pm (0.0000, 0.0000, 0.0000)
Pm (0.2500, 0.2500, 0.5000)
Pu (0.0000, 0.5000, 0.0000)
Pb (0.0000, 0.2513, 0.0000)
Pb (0.2475, 0.5000, 0.5000)

6.
PmPuPb2: relaxed, PBE-GGA.

Calculated values
N(E_F): 11.71 states/eV/cell
formation energy from the elements: -0.309 eV/atom

Cell lengths 5.0286, 5.0286, 4.5932 Å; angles 90.00, 90.00, 90.00 degrees
Space group P4/mmm (No. 123)
One atom of each set of equivalent atoms:
Pm (0.0000, 0.0000, 0.0000)
Pu (0.5000, 0.5000, 0.0000)
Pb (0.0000, 0.5000, 0.5000)

7.
Pm8PuPb6: relaxed, PBE-GGA.

Calculated values
N(E_F): 63.09 states/eV/cell
formation energy from the elements: -0.336 eV/atom

Cell lengths 9.4365, 9.4365, 19.8808 Å; angles 90.00, 90.00, 120.00 degrees
Space group R-3 (No. 148, hexagonal axes)
One atom of each set of equivalent atoms:
Pm (0.0000, 0.0000, 0.1676)
Pm (0.0024, 0.3255, 0.6013)
Pu (0.0000, 0.0000, 0.5000)
Pb (0.0013, 0.3409, 0.4300)

8.
Pm5PuPb5: relaxed, PBE-GGA.

Calculated values
N(E_F): 38.79 states/eV/cell
formation energy from the elements: -0.219 eV/atom

Cell lengths 14.3696, 6.3746, 8.8982 Å; angles 90.00, 108.17, 90.00 degrees
Space group C2/m (No. 12)
One atom of each set of equivalent atoms:
Pm (0.0000, 0.0000, 0.0000)
Pm (0.1661, 0.5000, 0.3286)
Pm (0.1680, 0.5000, 0.8360)
Pu (0.0000, 0.0000, 0.5000)
Pb (0.0000, 0.5000, 0.5000)
Pb (0.1633, 0.0000, 0.3338)
Pb (0.1629, 0.0000, 0.8315)

9.
Pm2PuPb2: relaxed, PBE-GGA.

Calculated values
N(E_F): 12.95 states/eV/cell
formation energy from the elements: -0.213 eV/atom

Cell lengths 5.4703, 5.4703, 6.5579 Å; angles 90.00, 90.00, 120.00 degrees
Space group P-3m1 (No. 164)
One atom of each set of equivalent atoms:
Pm (0.3333, 0.6667, 0.2081)
Pu (0.0000, 0.0000, 0.5000)
Pb (0.3333, 0.6667, 0.7172)

10.
PmPu2Pb2: relaxed, PBE-GGA.

Calculated values
N(E_F): 17.67 states/eV/cell
formation energy from the elements: 0.059 eV/atom

Cell lengths 4.3549, 4.3549, 16.5092 Å; angles 90.00, 90.00, 120.00 degrees
Space group P6_3/mmc (No. 194)
One atom of each set of equivalent atoms:
Pm (0.3333, 0.6667, 0.2500)
Pu (0.3333, 0.6667, 0.5063)
Pb (0.0000, 0.0000, 0.1264)

11.
Pm2PuPb: relaxed, PBE-GGA.

Calculated values
N(E_F): 12.00 states/eV/cell
energy above the most stable polymorph in this dataset: 0.000 eV per atom
formation energy from the elements: -0.211 eV/atom

Cell lengths 5.0216, 5.0216, 4.6813 Å; angles 90.00, 90.00, 90.00 degrees
Space group P4/mmm (No. 123)
One atom of each set of equivalent atoms:
Pm (0.0000, 0.5000, 0.0000)
Pu (0.0000, 0.0000, 0.5000)
Pb (0.5000, 0.5000, 0.5000)

12.
Pm3PuPb3: relaxed, PBE-GGA.

Calculated values
N(E_F): 46.75 states/eV/cell
formation energy from the elements: -0.269 eV/atom

Cell lengths 10.8526, 10.8526, 6.6792 Å; angles 90.00, 90.00, 120.00 degrees
Space group R3m (No. 160, hexagonal axes)
One atom of each set of equivalent atoms:
Pm (0.0544, 0.5272, 0.0000)
Pu (0.0000, 0.0000, 0.9039)
Pb (0.0018, 0.5009, 0.4706)

13.
PmPu5Pb6: relaxed, PBE-GGA.

Calculated values
N(E_F): 46.37 states/eV/cell
formation energy from the elements: -0.184 eV/atom

Cell lengths 4.9627, 9.2212, 7.8667 Å; angles 90.00, 108.28, 90.00 degrees
Space group P2/m (No. 10)
One atom of each set of equivalent atoms:
Pm (0.0000, 0.0000, 0.0000)
Pu (0.0000, 0.5000, 0.0000)
Pu (0.3250, 0.0000, 0.6498)
Pu (0.3269, 0.5000, 0.6536)
Pb (0.1638, 0.2512, 0.3276)
Pb (0.5000, 0.2513, 0.0000)

14.
Pm4PuPb2: relaxed, PBE-GGA.

Calculated values
N(E_F): 29.95 states/eV/cell
formation energy from the elements: 0.082 eV/atom

Cell lengths 5.9135, 5.9135, 13.0956 Å; angles 90.00, 90.00, 90.00 degrees
Space group I4/mmm (No. 139)
One atom of each set of equivalent atoms:
Pm (0.0000, 0.5000, 0.0000)
Pm (0.0000, 0.5000, 0.2500)
Pu (0.0000, 0.0000, 0.0000)
Pb (0.0000, 0.0000, 0.3683)

15.
Pm2PuPb: relaxed, PBE-GGA.

Calculated values
N(E_F): 10.02 states/eV/cell
energy above the most stable polymorph in this dataset: 0.100 eV per atom
formation energy from the elements: -0.111 eV/atom

Cell lengths 4.1183, 4.1183, 7.1062 Å; angles 90.00, 90.00, 90.00 degrees
Space group P4/mmm (No. 123)
One atom of each set of equivalent atoms:
Pm (0.0000, 0.0000, 0.2336)
Pu (0.5000, 0.5000, 0.5000)
Pb (0.5000, 0.5000, 0.0000)

16.
PmPu2Pb3: relaxed, PBE-GGA.

Calculated values
N(E_F): 16.64 states/eV/cell
formation energy from the elements: -0.280 eV/atom

Cell lengths 3.4955, 3.4955, 13.9827 Å; angles 90.00, 90.00, 90.00 degrees
Space group P4/mmm (No. 123)
One atom of each set of equivalent atoms:
Pm (0.0000, 0.0000, 0.0000)
Pu (0.0000, 0.0000, 0.3341)
Pb (0.5000, 0.5000, 0.1681)
Pb (0.5000, 0.5000, 0.5000)

17.
Pm3Pu2Pb3: relaxed, PBE-GGA.

Calculated values
N(E_F): 29.14 states/eV/cell
formation energy from the elements: -0.311 eV/atom

Cell lengths 4.4475, 4.8702, 21.5898 Å; angles 90.00, 90.00, 90.00 degrees
Space group Immm (No. 71)
One atom of each set of equivalent atoms:
Pm (0.0000, 0.0000, 0.0000)
Pm (0.0000, 0.5000, 0.1253)
Pu (0.0000, 0.0000, 0.2466)
Pb (0.0000, 0.0000, 0.5000)
Pb (0.0000, 0.5000, 0.3680)

18.
PmPu2Pb9: relaxed, PBE-GGA.

Calculated values
N(E_F): 23.97 states/eV/cell
formation energy from the elements: -0.117 eV/atom

Cell lengths 5.6381, 5.6381, 11.3202 Å; angles 90.00, 90.00, 90.00 degrees
Space group P4/mmm (No. 123)
One atom of each set of equivalent atoms:
Pm (0.0000, 0.0000, 0.0000)
Pu (0.0000, 0.0000, 0.3352)
Pb (0.0000, 0.5000, 0.1681)
Pb (0.0000, 0.5000, 0.5000)
Pb (0.5000, 0.5000, 0.0000)
Pb (0.5000, 0.5000, 0.3335)

19.
PmPuPb4: relaxed, PBE-GGA.

Calculated values
N(E_F): 66.78 states/eV/cell
formation energy from the elements: -0.055 eV/atom

Cell lengths 9.0805, 9.0805, 9.0805 Å; angles 90.00, 90.00, 90.00 degrees
Space group F-43m (No. 216)
One atom of each set of equivalent atoms:
Pm (0.0000, 0.0000, 0.0000)
Pu (0.2500, 0.2500, 0.7500)
Pb (0.1250, 0.1250, 0.3750)

20.
Pm2Pu2Pb3: relaxed, PBE-GGA.

Calculated values
N(E_F): 28.41 states/eV/cell
energy above the most stable polymorph in this dataset: 0.000 eV per atom
formation energy from the elements: -0.255 eV/atom

Cell lengths 4.6946, 24.2883, 3.5243 Å; angles 90.00, 90.00, 90.00 degrees
Space group Cmmm (No. 65)
One atom of each set of equivalent atoms:
Pm (0.0000, 0.0760, 0.0000)
Pu (0.0000, 0.2145, 0.0000)
Pb (0.0000, 0.3467, 0.5000)
Pb (0.0000, 0.5000, 0.5000)

21.
Pm3PuPb4: relaxed, PBE-GGA.

Calculated values
N(E_F): 13.64 states/eV/cell
energy above the most stable polymorph in this dataset: 0.000 eV per atom
formation energy from the elements: -0.420 eV/atom

Cell lengths 3.5623, 3.5623, 18.4174 Å; angles 90.00, 90.00, 90.00 degrees
Space group P4/mmm (No. 123)
One atom of each set of equivalent atoms:
Pm (0.0000, 0.0000, 0.0000)
Pm (0.0000, 0.0000, 0.2517)
Pu (0.0000, 0.0000, 0.5000)
Pb (0.5000, 0.5000, 0.1257)
Pb (0.5000, 0.5000, 0.3764)

22.
Pm2Pu2Pb3: relaxed, PBE-GGA.

Calculated values
N(E_F): 38.80 states/eV/cell
energy above the most stable polymorph in this dataset: 0.107 eV per atom
formation energy from the elements: -0.148 eV/atom

Cell lengths 11.4671, 4.6219, 8.5734 Å; angles 90.00, 106.57, 90.00 degrees
Space group C2/m (No. 12)
One atom of each set of equivalent atoms:
Pm (0.1175, 0.0000, 0.3023)
Pu (0.1244, 0.5000, 0.9423)
Pb (0.0000, 0.5000, 0.5000)
Pb (0.1841, 0.0000, 0.7036)

23.
Pm5PuPb4: relaxed, PBE-GGA.

Calculated values
N(E_F): 35.36 states/eV/cell
formation energy from the elements: -0.124 eV/atom

Cell lengths 18.0327, 3.7088, 10.0098 Å; angles 90.00, 91.47, 90.00 degrees
Space group C2/m (No. 12)
One atom of each set of equivalent atoms:
Pm (0.0000, 0.0000, 0.0000)
Pm (0.1524, 0.5000, 0.2661)
Pm (0.1905, 0.5000, 0.8836)
Pu (0.0000, 0.0000, 0.5000)
Pb (0.0280, 0.5000, 0.7495)
Pb (0.1819, 0.0000, 0.5696)

24.
PmPuPb2: relaxed, PBE-GGA.

Calculated values
N(E_F): 9.59 states/eV/cell
formation energy from the elements: -0.335 eV/atom

Cell lengths 3.5286, 3.5286, 9.2586 Å; angles 90.00, 90.00, 90.00 degrees
Space group P4/mmm (No. 123)
One atom of each set of equivalent atoms:
Pm (0.0000, 0.0000, 0.0000)
Pu (0.0000, 0.0000, 0.5000)
Pb (0.5000, 0.5000, 0.2514)

25.
Pm2PuPb: relaxed, PBE-GGA.

Calculated values
N(E_F): 69.95 states/eV/cell
energy above the most stable polymorph in this dataset: 0.145 eV per atom
formation energy from the elements: -0.065 eV/atom

Cell lengths 7.8253, 7.8253, 7.8253 Å; angles 90.00, 90.00, 90.00 degrees
Space group Fm-3m (No. 225)
One atom of each set of equivalent atoms:
Pm (0.2500, 0.2500, 0.2500)
Pu (0.0000, 0.0000, 0.0000)
Pb (0.0000, 0.0000, 0.5000)

Number 1: spin magnetization 0.00 μB per formula unit. Number 2: spin magnetization 11.13 μB per formula unit. Number 3: spin magnetization 5.64 μB per formula unit. Number 4: spin magnetization 17.66 μB per formula unit. Number 5: spin magnetization 5.52 μB per formula unit. Number 6: spin magnetization 6.40 μB per formula unit. Number 7: spin magnetization 6.40 μB per formula unit. Number 8: spin magnetization 5.94 μB per formula unit. Number 9: spin magnetization 6.03 μB per formula unit. Number 10: spin magnetization 5.56 μB per formula unit. Number 11: spin magnetization 6.66 μB per formula unit. Number 12: spin magnetization 6.01 μB per formula unit. Number 13: spin magnetization 5.97 μB per formula unit. Number 14: spin magnetization 6.38 μB per formula unit. Number 15: spin magnetization 6.61 μB per formula unit. Number 16: spin magnetization 11.91 μB per formula unit. Number 17: spin magnetization 12.29 μB per formula unit. Number 18: spin magnetization 11.47 μB per formula unit. Number 19: spin magnetization 6.97 μB per formula unit. Number 20: spin magnetization 11.87 μB per formula unit. Number 21: spin magnetization 6.00 μB per formula unit. Number 22: spin magnetization 13.59 μB per formula unit. Number 23: spin magnetization 5.69 μB per formula unit. Number 24: spin magnetization 6.09 μB per formula unit. Number 25: spin magnetization 6.99 μB per formula unit.